## AlBSb (PBE)

Data for a relaxed AlBSb crystal.

abc: 4.1081 7.8723 7.8269
angles: 113.01 90.00 90.00
With the nearest neighbours (Å) after each atom.
Element x y z (fractional)
1 Al 0.2376 0.6424 0.8646  3 B 2.16-2.28
2 Al 0.7376 0.8576 0.1354  3 B 2.16-2.28
3 Al 0.7624 0.3576 0.1354  3 B 2.16-2.28
4 Al 0.2624 0.1424 0.8646  3 B 2.16-2.28
5 B 0.4885 0.8969 0.9073  1 B 1.71
6 B 0.9885 0.6031 0.0927  1 B 1.71
7 B 0.5115 0.1031 0.0927  1 B 1.71
8 B 0.0115 0.3969 0.9073  1 B 1.71
9 Sb 0.4095 0.6738 0.3154  1 B 2.36
10 Sb 0.9095 0.8262 0.6846  1 B 2.36
11 Sb 0.5905 0.3262 0.6846  1 B 2.36
12 Sb 0.0905 0.1738 0.3154  1 B 2.36

Calculated values
Density of states at the Fermi level in states/eV/f.u.: 0.414
Space group: No. 14
Formation energy from raw total energies in eV per formula unit: 0.9
Total energy in eV per atom: -4.551